Mg2BeRh | the Alexandria database | PBE | relaxed; electronic total energy = -15.430 eV/cell; DFT formation energy = -0.291 eV/atom; symmetry = Imm2; volume = 15.02 Å³/atom
1.0
-1.551 2.195 4.410
1.551 -2.195 4.410
1.551 2.195 -4.410
Mg Be Rh
2 1 1
direct
0.000 0.000 0.000 Mg
0.714 0.214 0.500 Mg
0.450 0.450 0.000 Be
0.267 0.767 0.500 Rh


Mg2BeRh | the Alexandria database | PBE | relaxed; electronic total energy = -13.663 eV/cell; DFT formation energy = 0.151 eV/atom; symmetry = R-3m; volume = 15.69 Å³/atom
1.0
1.451 0.838 8.604
-1.451 0.838 8.604
0.000 -1.676 8.604
Mg Be Rh
2 1 1
direct
0.248 0.248 0.248 Mg
0.752 0.752 0.752 Mg
0.000 0.000 0.000 Be
0.500 0.500 0.500 Rh


MgBe2Rh | the Alexandria database | PBE | relaxed; electronic total energy = -16.135 eV/cell; DFT formation energy = 0.066 eV/atom; symmetry = R-3m; volume = 13.50 Å³/atom
1.0
1.409 0.814 7.848
-1.409 0.814 7.848
0.000 -1.628 7.848
Mg Be Rh
1 2 1
direct
0.000 0.000 0.000 Mg
0.237 0.237 0.237 Be
0.763 0.763 0.763 Be
0.500 0.500 0.500 Rh


Mg2BeRh2 | the Alexandria database | PBE | relaxed; electronic total energy = -47.593 eV/cell; DFT formation energy = -0.436 eV/atom; symmetry = P4/mbm; volume = 15.10 Å³/atom
1.0
6.068 0.000 0.000
0.000 6.068 0.000
0.000 0.000 4.102
Mg Be Rh
4 2 4
direct
0.165 0.335 0.000 Mg
0.335 0.835 0.000 Mg
0.665 0.165 0.000 Mg
0.835 0.665 0.000 Mg
0.000 0.000 0.500 Be
0.500 0.500 0.500 Be
0.152 0.652 0.500 Rh
0.348 0.152 0.500 Rh
0.652 0.848 0.500 Rh
0.848 0.348 0.500 Rh


MgBeRh | the Alexandria database | PBE | relaxed; electronic total energy = -13.714 eV/cell; offset from the most stable computed form = 0.33 eV/f.u.; DFT formation energy = -0.347 eV/atom; symmetry = P-6m2; volume = 13.82 Å³/atom
1.0
3.926 0.000 0.000
-1.963 3.400 0.000
0.000 0.000 3.106
Mg Be Rh
1 1 1
direct
0.000 0.000 0.000 Mg
0.667 0.333 0.500 Be
0.333 0.667 0.500 Rh


MgBe2Rh | the Alexandria database | PBE | relaxed; electronic total energy = -17.362 eV/cell; DFT formation energy = -0.241 eV/atom; symmetry = Imm2; volume = 11.84 Å³/atom
1.0
-1.479 1.986 4.033
1.479 -1.986 4.033
1.479 1.986 -4.033
Mg Be Rh
1 2 1
direct
0.000 0.000 0.000 Mg
0.511 0.511 0.000 Be
0.728 0.228 0.500 Be
0.274 0.774 0.500 Rh